Entry from Alexandria: a geometry-optimized CaFe2Cl6 structure (PBE).

Values from the calculation:
The crystal system is monoclinic. For the uncorrected formation energy, the calculation gives -1063 kJ/mol of formula units. The total moment comes out at 8.0 μB/f.u. Its symmetry is No. 15.

Cell: 8.768 8.768 6.943 Å, 99.27 99.27 85.10°
Positions (direct):
1 Ca 0.110 0.890 0.750
2 Ca 0.890 0.110 0.250
3 Fe 0.222 0.384 0.709
4 Fe 0.384 0.222 0.209
5 Fe 0.616 0.778 0.791
6 Fe 0.778 0.616 0.291
7 Cl 0.044 0.189 0.632
8 Cl 0.121 0.609 0.863
9 Cl 0.189 0.044 0.132
10 Cl 0.294 0.427 0.420
11 Cl 0.391 0.879 0.637
12 Cl 0.427 0.294 0.920
13 Cl 0.573 0.706 0.080
14 Cl 0.609 0.121 0.363
15 Cl 0.706 0.573 0.580
16 Cl 0.811 0.956 0.868
17 Cl 0.879 0.391 0.137
18 Cl 0.956 0.811 0.368